No. 1
The following is a DFT calculation (PBE) of an optimized crystal structure of LiRu2Br.

a = 2.889 Å, b = 2.889 Å, c = 8.809 Å
α = 90.00°, β = 90.00°, γ = 120.07°
Element x y z (fractional)
Li: 0.000 0.000 0.000
Ru: 0.500 0.500 0.253
Ru: 0.500 0.500 0.747
Br: 0.000 0.000 0.500

Values from the calculation:
V = 15.91 Å³ per atom
calculated density = 7.54 g cm⁻³
uncorrected formation energy = 0.87 eV/atom
crystal system = orthorhombic
polymorph energy (0 for the lowest one) = 706.5 meV per atom

***

No. 2
The following is a DFT calculation (PBE) of an optimized crystal structure of Dy8GaHg3Te4.

a = 9.073 Å, b = 9.073 Å, c = 9.073 Å
α = 54.24°, β = 54.24°, γ = 54.24°
Element x y z (fractional)
Dy: 0.250 0.250 0.250
Dy: 0.253 0.745 0.745
Dy: 0.255 0.255 0.747
Dy: 0.255 0.747 0.255
Dy: 0.745 0.253 0.745
Dy: 0.745 0.745 0.253
Dy: 0.747 0.255 0.255
Dy: 0.750 0.750 0.750
Ga: 0.500 0.500 0.500
Hg: 0.000 0.000 0.500
Hg: 0.000 0.500 0.000
Hg: 0.500 0.000 0.000
Te: 0.000 0.000 0.000
Te: 0.000 0.500 0.500
Te: 0.500 0.000 0.500
Te: 0.500 0.500 0.000

Values from the calculation:
V = 28.57 Å³ per atom
calculated density = 9.02 g cm⁻³
uncorrected formation energy = -0.87 eV/atom
crystal system = trigonal

***

- Which formula does entry 1 have?
  LiRu2Br